(1)
Computed, not measured: crystalline UPF at its relaxed geometry at the PBE-GGA level of DFT.

```
3
Lattice="4.025 0.000 0.000 -2.013 3.486 0.000 0.000 0.000 3.756" Properties=species:S:1:pos:R:3 pbc="T T T"
U 0.000 0.000 0.000
P 0.000 2.324 1.878
F 2.013 1.162 0.000
```

## Properties
- DOS at the Fermi energy: 6.0 states/eV per cell
- Final energy: -23.96 eV per cell
- Theoretical density: 9.1 Mg/m³
- V: 52.7 Å³/cell
- Energy above the lowest structure with this stoichiometry: 0.000 eV/atom

---

(2)
Computed, not measured: crystalline UPF at its relaxed geometry at the PBE-GGA level of DFT.

```
6
Lattice="4.677 -2.403 0.000 4.677 2.403 0.000 -3.187 0.000 4.543" Properties=species:S:1:pos:R:3 pbc="T T T"
U 0.744 0.000 1.026
U 5.423 0.000 3.517
P -1.029 0.000 3.241
P 7.197 0.000 1.302
F 1.747 0.000 3.062
F 4.421 0.000 1.480
```

## Properties
- DOS at the Fermi energy: 6.7 states/eV per cell
- Final energy: -46.30 eV per cell
- Theoretical density: 9.4 Mg/m³
- V: 102.1 Å³/cell
- Energy above the lowest structure with this stoichiometry: 0.270 eV/atom

---

(3)
Computed, not measured: crystalline UPF at its relaxed geometry at the PBE-GGA level of DFT.

```
3
Lattice="-1.697 1.697 4.421 1.697 -1.697 4.421 1.697 1.697 -4.421" Properties=species:S:1:pos:R:3 pbc="T T T"
U 0.000 0.000 0.000
P 0.000 0.000 2.968
F 0.000 0.000 5.594
```

## Properties
- DOS at the Fermi energy: 3.9 states/eV per cell
- Final energy: -22.73 eV per cell
- Theoretical density: 9.4 Mg/m³
- V: 50.9 Å³/cell
- Energy above the lowest structure with this stoichiometry: 0.410 eV/atom